This record from the Alexandria database describes a geometry-optimized SmHoZn4 structure. The functional is PBE.

Results
* D(E_F): 0.44 states/eV per atom
* formation energy from the elements: 0.011 eV per atom
* space group: No. 2

Unit cell a=3.772 b=3.778 c=9.827 alpha=89.59 beta=89.88 gamma=90.04
Sites, in units of the cell vectors:
Zn1 0.501 0.998 0.743
Ho1 0.001 0.997 0.498
Sm1 0.502 0.497 0.998
Zn2 0.502 0.996 0.253
Zn3 0.002 0.496 0.743
Zn4 0.001 0.499 0.253

---

This record from the Alexandria database describes a geometry-optimized Sm4HoZn structure. The functional is PBE.

Results
* D(E_F): 1.18 states/eV per atom
* formation energy from the elements: -0.096 eV per atom
* space group: No. 123

Unit cell a=3.618 b=3.618 c=13.833 alpha=90.00 beta=90.00 gamma=90.00
Sites, in units of the cell vectors:
Zn1 0.500 0.500 0.500
Sm1 0.500 0.500 0.181
Sm2 0.000 0.000 0.368
Sm3 0.500 0.500 0.819
Ho1 0.000 0.000 0.000
Sm4 0.000 0.000 0.632

---

This record from the Alexandria database describes a geometry-optimized Sm6Ho2Zn structure. The functional is PBE.

Results
* D(E_F): 1.43 states/eV per atom
* formation energy from the elements: 0.013 eV per atom
* space group: No. 58

Unit cell a=5.417 b=10.172 c=10.200 alpha=90.00 beta=90.00 gamma=90.00
Sites, in units of the cell vectors:
Zn1 0.000 0.000 0.500
Sm1 0.500 0.539 0.313
Sm2 0.500 0.461 0.687
Sm3 0.000 0.961 0.813
Ho1 0.500 0.786 0.718
Sm4 0.000 0.039 0.187
Sm5 0.500 0.813 0.044
Ho2 0.000 0.286 0.782
Ho3 0.000 0.714 0.218
Sm6 0.000 0.687 0.544
Sm7 0.500 0.877 0.379
Zn2 0.500 0.500 0.000
Sm8 0.500 0.187 0.956
Ho4 0.500 0.214 0.282
Sm9 0.000 0.623 0.879
Sm10 0.500 0.123 0.621
Sm11 0.000 0.377 0.121
Sm12 0.000 0.313 0.456

---

This record from the Alexandria database describes a geometry-optimized SmHo6Zn2 structure. The functional is PBE.

Results
* D(E_F): 1.16 states/eV per atom
* formation energy from the elements: -0.141 eV per atom
* space group: No. 12

Unit cell a=3.614 b=6.461 c=11.487 alpha=75.72 beta=80.95 gamma=73.76
Sites, in units of the cell vectors:
Ho1 0.687 0.214 0.412
Zn1 0.349 0.091 0.210
Sm1 0.000 0.000 0.000
Ho2 0.309 0.507 0.874
Ho3 0.978 0.712 0.333
Ho4 0.313 0.786 0.588
Ho5 0.022 0.288 0.667
Zn2 0.651 0.909 0.790
Ho6 0.691 0.493 0.126

---

This record from the Alexandria database describes a geometry-optimized Sm3HoZn4 structure. The functional is PBE.

Results
* D(E_F): 1.14 states/eV per atom
* formation energy from the elements: -0.323 eV per atom
* space group: No. 166

Unit cell a=5.112 b=5.112 c=8.879 alpha=73.27 beta=73.27 gamma=60.00
Sites, in units of the cell vectors:
Ho1 0.000 0.000 0.000
Zn1 0.876 0.876 0.371
Sm1 0.500 0.500 0.500
Zn2 0.626 0.626 0.121
Sm2 0.749 0.749 0.753
Zn3 0.374 0.374 0.879
Sm3 0.251 0.251 0.247
Zn4 0.124 0.124 0.629

---

This record from the Alexandria database describes a geometry-optimized Sm3HoZn2 structure. The functional is PBE.

Results
* D(E_F): 1.64 states/eV per atom
* formation energy from the elements: 0.053 eV per atom
* space group: No. 72

Unit cell a=6.964 b=7.289 c=8.793 alpha=114.49 beta=113.33 gamma=90.00
Sites, in units of the cell vectors:
Sm1 0.773 0.523 0.546
Sm2 0.500 0.250 0.000
Zn1 0.432 0.637 0.275
Sm3 0.500 0.750 0.000
Zn2 0.843 0.137 0.275
Sm4 0.227 0.477 0.454
Zn3 0.568 0.363 0.725
Ho1 0.000 0.500 0.000
Sm5 0.773 0.023 0.546
Sm6 0.227 0.977 0.454
Zn4 0.157 0.863 0.725
Ho2 0.000 0.000 0.000

---

This record from the Alexandria database describes a geometry-optimized SmHo2Zn4 structure. The functional is PBE.

Results
* D(E_F): 0.69 states/eV per atom
* formation energy from the elements: -0.145 eV per atom
* space group: No. 139

Unit cell a=5.162 b=5.162 c=7.256 alpha=110.84 beta=110.84 gamma=90.00
Sites, in units of the cell vectors:
Zn1 0.113 0.613 0.227
Sm1 0.000 0.000 0.000
Zn2 0.387 0.887 0.773
Ho1 0.275 0.275 0.550
Zn3 0.613 0.113 0.227
Ho2 0.725 0.725 0.450
Zn4 0.887 0.387 0.773

---

This record from the Alexandria database describes a geometry-optimized SmHo4Zn structure. The functional is PBE.

Results
* D(E_F): 1.38 states/eV per atom
* formation energy from the elements: 0.000 eV per atom
* space group: No. 15

Unit cell a=6.178 b=8.968 c=8.081 alpha=114.43 beta=100.20 gamma=111.70
Sites, in units of the cell vectors:
Sm1 0.652 0.402 0.803
Ho1 0.765 0.714 0.637
Ho2 0.244 0.615 0.780
Zn1 0.750 0.000 0.001
Ho3 0.235 0.286 0.363
Sm2 0.348 0.598 0.197
Zn2 0.250 0.000 0.999
Ho4 0.372 0.923 0.637
Ho5 0.756 0.385 0.220
Ho6 0.628 0.077 0.363
Ho7 0.964 0.835 0.220
Ho8 0.036 0.165 0.780

---

This record from the Alexandria database describes a geometry-optimized Sm9Ho4Zn11 structure. The functional is PBE.

Results
* D(E_F): 1.00 states/eV per atom
* formation energy from the elements: -0.236 eV per atom
* space group: No. 65

Unit cell a=3.503 b=13.270 c=13.270 alpha=109.12 beta=90.00 gamma=90.00
Sites, in units of the cell vectors:
Zn1 0.000 0.236 0.236
Ho1 0.500 0.427 0.248
Sm1 0.500 0.206 0.029
Zn2 0.000 0.764 0.764
Ho2 0.500 0.573 0.752
Zn3 0.000 0.583 0.943
Ho3 0.500 0.752 0.573
Sm2 0.500 0.624 0.145
Sm3 0.500 0.855 0.376
Sm4 0.500 0.145 0.624
Zn4 0.000 0.631 0.369
Zn5 0.000 0.057 0.417
Sm5 0.500 0.500 0.500
Sm6 0.500 0.794 0.971
Zn6 0.000 0.417 0.057
Zn7 0.000 0.943 0.583
Zn8 0.000 0.000 0.000
Sm7 0.500 0.376 0.855
Zn9 0.000 0.369 0.631
Ho4 0.500 0.248 0.427
Sm8 0.500 0.029 0.206
Zn10 0.000 0.828 0.172
Sm9 0.500 0.971 0.794
Zn11 0.000 0.172 0.828

---

This record from the Alexandria database describes a geometry-optimized SmHoZn4 structure. The functional is PBE.

Results
* D(E_F): 0.23 states/eV per atom
* formation energy from the elements: -0.331 eV per atom
* space group: No. 216

Unit cell a=5.488 b=5.488 c=5.488 alpha=60.00 beta=60.00 gamma=60.00
Sites, in units of the cell vectors:
Zn1 0.625 0.625 0.625
Zn2 0.625 0.625 0.125
Sm1 0.250 0.250 0.250
Ho1 0.000 0.000 0.000
Zn3 0.125 0.625 0.625
Zn4 0.625 0.125 0.625

---

This record from the Alexandria database describes a geometry-optimized Sm4HoZn structure. The functional is PBE.

Results
* D(E_F): 1.35 states/eV per atom
* formation energy from the elements: 0.005 eV per atom
* space group: No. 15

Unit cell a=6.321 b=9.135 c=8.169 alpha=114.36 beta=100.08 gamma=112.28
Sites, in units of the cell vectors:
Sm1 0.041 0.166 0.775
Sm2 0.766 0.391 0.225
Ho1 0.343 0.593 0.187
Zn1 0.750 0.000 0.999
Sm3 0.959 0.834 0.225
Ho2 0.657 0.407 0.813
Zn2 0.250 0.000 0.001
Sm4 0.237 0.286 0.366
Sm5 0.630 0.080 0.366
Sm6 0.234 0.609 0.775
Sm7 0.370 0.920 0.634
Sm8 0.763 0.714 0.634

---

This record from the Alexandria database describes a geometry-optimized SmHoZn4 structure. The functional is PBE.

Results
* D(E_F): 0.89 states/eV per atom
* formation energy from the elements: -0.365 eV per atom
* space group: No. 71

Unit cell a=4.504 b=5.723 c=5.723 alpha=76.55 beta=66.83 gamma=66.83
Sites, in units of the cell vectors:
Ho1 0.000 0.000 0.000
Zn1 0.334 0.415 0.918
Zn2 0.666 0.082 0.585
Zn3 0.666 0.585 0.082
Sm1 0.000 0.500 0.500
Zn4 0.334 0.918 0.415

---

Question: What is the formula in the second record?
Answer: Sm4HoZn